[1]
Here is a geometry-optimized KSrTl2 structure from Alexandria. Energies are from PBE.

Cell: 11.251 11.251 11.251 Å, 20.70 20.70 20.70°
Element x y z (fractional)
K  0.250  0.250  0.250
Sr  0.750  0.750  0.750
Tl  0.005  0.005  0.005
Tl  0.495  0.495  0.495

Calculated values
electronic total energy	-7.87	eV/cell
formation enthalpy at 0 K	-0.089	eV/atom
energy relative to the lowest polymorph listed for this composition	129	meV/atom

***

[2]
Here is a geometry-optimized Hf2AlPd structure from Alexandria. Energies are from PBE.

Cell: 4.055 4.055 10.279 Å, 78.62 78.62 90.00°
Element x y z (fractional)
Hf  0.621  0.125  0.250
Hf  0.129  0.625  0.250
Hf  0.375  0.379  0.750
Hf  0.875  0.871  0.750
Al  0.500  0.500  0.000
Al  0.250  0.750  0.500
Pd  0.000  0.000  0.000
Pd  0.750  0.250  0.500

Calculated values
electronic total energy	-56.68	eV/cell
formation enthalpy at 0 K	0.125	eV/atom

***

[3]
Here is a geometry-optimized NaMoN2 structure from Alexandria. Energies are from PBE.

Cell: 3.817 3.817 3.817 Å, 60.00 60.00 60.00°
Site moments in Bohr magnetons follow the coordinates.
Element x y z (fractional)
Na  0.000  0.000  0.000  0.01
Mo  0.500  0.500  0.500  1.42
N  0.250  0.250  0.250  -0.15
N  0.750  0.750  0.750  -0.15

Calculated values
electronic total energy	-25.93	eV/cell
uncorrected formation energy	0.717	eV per atom
energy relative to the lowest polymorph listed for this composition	1083	meV/atom

***

[4]
Here is a geometry-optimized Cs2GaPbO4 structure from Alexandria. Energies are from PBE.

Cell: 6.454 7.289 7.499 Å, 90.00 90.00 90.00°
Element x y z (fractional)
Cs  0.500  0.282  0.246
Cs  0.500  0.282  0.754
Cs  0.000  0.718  0.746
Cs  0.000  0.718  0.254
Ga  0.500  0.848  0.500
Ga  0.000  0.152  0.000
Pb  0.000  0.181  0.500
Pb  0.500  0.819  0.000
O  0.244  0.011  0.000
O  0.744  0.989  0.500
O  0.259  0.992  0.500
O  0.759  0.008  0.000
O  0.499  0.703  0.709
O  0.999  0.297  0.209
O  0.999  0.297  0.791
O  0.499  0.703  0.291

Calculated values
electronic total energy	-78.31	eV/cell
uncorrected formation energy	-1.360	eV per atom